[1]
Dy4ZnCd2: relaxed, PBE. Values from VASP.

```
&SYSTEM
  ibrav = 0, nat = 7, ntyp = 3
/
ATOMIC_SPECIES
Dy 162.50 Dy.upf
Zn 65.41 Zn.upf
Cd 112.41 Cd.upf
CELL_PARAMETERS angstrom
4.9386 0.0000 1.5429
2.2283 4.4073 1.5429
-0.0586 -0.0360 8.8627
ATOMIC_POSITIONS crystal
Dy 0.8745 0.8745 0.3764
Dy 0.1255 0.1255 0.6236
Dy 0.6231 0.6231 0.1306
Dy 0.3769 0.3769 0.8694
Zn 0.0000 0.0000 0.0000
Cd 0.7486 0.7486 0.7542
Cd 0.2514 0.2514 0.2458
```

Calculated values
Magnetic moment: 0.001 μB/atom

=====

[2]
Dy3ZnCd2: relaxed, PBE. Values from VASP.

```
&SYSTEM
  ibrav = 0, nat = 6, ntyp = 3
/
ATOMIC_SPECIES
Dy 162.50 Dy.upf
Zn 65.41 Zn.upf
Cd 112.41 Cd.upf
CELL_PARAMETERS angstrom
3.6437 0.0000 0.0000
0.0000 3.6437 0.0000
0.0000 0.0000 11.2921
ATOMIC_POSITIONS crystal
Dy 0.0000 0.0000 0.0000
Dy 0.0000 0.0000 0.6518
Dy 0.0000 0.0000 0.3482
Zn 0.5000 0.5000 0.5000
Cd 0.5000 0.5000 0.8268
Cd 0.5000 0.5000 0.1732
```

Calculated values
Magnetic moment: 0.024 μB/atom
Energy relative to the lowest polymorph listed for this composition: 0.0 meV per atom

=====

[3]
Dy3Zn4Cd4: relaxed, PBE. Values from VASP.

```
&SYSTEM
  ibrav = 0, nat = 11, ntyp = 3
/
ATOMIC_SPECIES
Dy 162.50 Dy.upf
Zn 65.41 Zn.upf
Cd 112.41 Cd.upf
CELL_PARAMETERS angstrom
3.5246 -0.0001 0.0019
0.0002 4.6911 -0.0017
1.7512 2.3173 14.4820
ATOMIC_POSITIONS crystal
Dy 0.1407 0.6400 0.7192
Dy 0.8593 0.3600 0.2808
Dy 0.0000 0.0000 0.0000
Zn 0.5447 0.5447 0.9113
Zn 0.4553 0.4553 0.0887
Zn 0.3169 0.8168 0.3676
Zn 0.6831 0.1832 0.6324
Cd 0.5920 0.0915 0.8168
Cd 0.2633 0.2637 0.4733
Cd 0.7367 0.7364 0.5267
Cd 0.4080 0.9085 0.1832
```

Calculated values
Magnetic moment: 0.000 μB/atom
Energy relative to the lowest polymorph listed for this composition: 0.0 meV per atom

=====

[4]
Dy4ZnCd: relaxed, PBE. Values from VASP.

```
&SYSTEM
  ibrav = 0, nat = 6, ntyp = 3
/
ATOMIC_SPECIES
Dy 162.50 Dy.upf
Zn 65.41 Zn.upf
Cd 112.41 Cd.upf
CELL_PARAMETERS angstrom
3.5660 -0.0007 0.0002
0.0007 3.5660 0.0002
-0.0006 -0.0006 12.7134
ATOMIC_POSITIONS crystal
Dy 0.5000 0.5000 0.8605
Dy 0.5000 0.5000 0.1395
Dy 0.0000 0.0000 0.6642
Dy 0.0000 0.0000 0.3358
Zn 0.0000 0.0000 0.0000
Cd 0.5000 0.5000 0.5000
```

Calculated values
Magnetic moment: 0.172 μB/atom
Energy relative to the lowest polymorph listed for this composition: 0.0 meV per atom

=====

Looking at volume for the records above, in order, we have 193.5 149.9 239.4 161.7 Å³/cell.
Looking at final energy for the records above, in order, we have -3.215 -3.143 -2.331 -3.633 eV/atom.
Looking at formation energy for the records above, in order, we have -141 -324 -280 -200 meV/atom.